MnBi3Cl PBE-GGA relaxed; space group = No. 221; electronic total energy = -3.6553 eV per atom; formation energy from raw total energies = 0.88 eV per atom; E above lowest polymorph = 667 meV/atom
1.0
5.485 0.000 0.000
0.000 5.485 0.000
0.000 0.000 5.485
Bi Mn Cl
3 1 1
Direct
0.500 0.000 0.000
0.000 0.000 0.500
0.000 0.500 0.000
0.500 0.500 0.500
0.000 0.000 0.000



Ac3Tl2Sn3Ru PBE-GGA relaxed; space group = No. 189; electronic total energy = -4.7045 eV per atom
1.0
-1.702 1.686 3.988
-6.544 -4.815 -0.756
6.609 -2.690 3.958
Ac Tl Sn Ru
3 2 3 1
Direct
0.000 0.616 0.616
0.000 0.384 0.000
0.000 0.000 0.384
0.500 0.667 0.333
0.500 0.333 0.667
0.500 0.778 0.000
0.500 0.222 0.222
0.500 0.000 0.778
0.000 0.000 0.000



TiMo3S4 PBE-GGA relaxed; space group = No. 31; electronic total energy = -7.5970 eV per atom; formation energy from raw total energies = -0.48 eV per atom
1.0
-5.549 2.059 0.806
-1.604 -5.238 2.334
1.996 2.578 7.159
Mo S Ti
6 8 2
Direct
0.614 0.624 0.000
0.481 0.371 0.298
0.481 0.371 0.702
0.981 0.629 0.798
0.114 0.376 0.500
0.981 0.629 0.202
0.117 0.250 0.783
0.617 0.750 0.283
0.061 0.766 0.500
0.617 0.750 0.717
0.117 0.250 0.217
0.726 0.208 0.500
0.561 0.234 0.000
0.226 0.792 0.000
0.919 0.053 0.000
0.419 0.947 0.500



The highest electronic total energy belongs to which entry? MnBi3Cl



What is the formula in the first record? MnBi3Cl



Look up the electronic total energy of the first one. -3.6553 eV per atom



Please write out number 3 again, unchanged.
TiMo3S4 PBE-GGA relaxed; space group = No. 31; electronic total energy = -7.5970 eV per atom; formation energy from raw total energies = -0.48 eV per atom
1.0
-5.549 2.059 0.806
-1.604 -5.238 2.334
1.996 2.578 7.159
Mo S Ti
6 8 2
Direct
0.614 0.624 0.000
0.481 0.371 0.298
0.481 0.371 0.702
0.981 0.629 0.798
0.114 0.376 0.500
0.981 0.629 0.202
0.117 0.250 0.783
0.617 0.750 0.283
0.061 0.766 0.500
0.617 0.750 0.717
0.117 0.250 0.217
0.726 0.208 0.500
0.561 0.234 0.000
0.226 0.792 0.000
0.919 0.053 0.000
0.419 0.947 0.500